# CsMnGa2P3H4O14

CsMnGa2P3H4O14 after structural relaxation (PBE with a Hubbard U, the Alexandria database).

**Symmetry**: C2/c
**V**: 306.3 Å³/f.u.
**Total DFT energy (no corrections)**: -6.4404 eV per atom
**Total magnetic moment**: 0.20 μB per atom

Unit cell a=8.6307 b=8.6307 c=9.0140 alpha=104.88 beta=104.88 gamma=74.55
Last column: nearest neighbours and their distance in Å.
Atoms (fractional coordinates):
Cs1 0.1387 0.8613 0.7500  6 O 3.10-3.28, 2 H 3.47
Cs2 0.8613 0.1387 0.2500  6 O 3.10-3.28, 2 H 3.47
Mn1 0.2186 0.7814 0.2500  6 O 2.11-2.28
Mn2 0.7814 0.2186 0.7500  6 O 2.11-2.28
Ga1 0.2551 0.4029 0.4264  5 O 1.88-2.05
Ga2 0.4029 0.2551 0.9264  5 O 1.88-2.05
Ga3 0.5971 0.7449 0.0736  5 O 1.88-2.05
Ga4 0.7449 0.5971 0.5736  5 O 1.88-2.05
P1 0.0815 0.3390 0.6725  4 O 1.52-1.58
P2 0.3390 0.0815 0.1725  4 O 1.52-1.58
P3 0.4968 0.5032 0.2500  4 O 1.55-1.56
P4 0.5032 0.4968 0.7500  4 O 1.55-1.56
P5 0.6610 0.9185 0.8275  4 O 1.52-1.58
P6 0.9185 0.6610 0.3275  4 O 1.52-1.58
H1 0.0407 0.2850 0.0078  1 O 0.99
H2 0.1127 0.5750 0.9466  1 O 0.99
H3 0.2850 0.0407 0.5078  1 O 0.99
H4 0.4250 0.8873 0.5534  1 O 0.99
H5 0.5750 0.1127 0.4466  1 O 0.99
H6 0.7150 0.9593 0.4922  1 O 0.99
H7 0.8873 0.4250 0.0534  1 O 0.99
H8 0.9593 0.7150 0.9922  1 O 0.99
O1 0.0062 0.7938 0.3306  1 P 1.52
O2 0.0364 0.4915 0.3414  1 P 1.56
O3 0.0802 0.6865 0.0088  2 H 0.99
O4 0.1804 0.2756 0.5386  1 P 1.56
O5 0.2022 0.3803 0.8342  1 P 1.58
O6 0.2062 0.9938 0.1694  1 P 1.52
O7 0.2756 0.1804 0.0386  1 P 1.56
O8 0.3135 0.9198 0.4912  2 H 0.99
O9 0.3310 0.5251 0.3003  1 P 1.56
O10 0.3552 0.5282 0.6141  1 P 1.55
O11 0.3803 0.2022 0.3342  1 P 1.58
O12 0.4718 0.6448 0.8859  1 P 1.55
O13 0.4749 0.6690 0.1997  1 P 1.56
O14 0.4915 0.0364 0.8414  1 P 1.56
O15 0.5085 0.9636 0.1586  1 P 1.56
O16 0.5251 0.3310 0.8003  1 P 1.56
O17 0.5282 0.3552 0.1141  1 P 1.55
O18 0.6197 0.7978 0.6658  1 P 1.58
O19 0.6448 0.4718 0.3859  1 P 1.55
O20 0.6690 0.4749 0.6997  1 P 1.56
O21 0.6865 0.0802 0.5088  2 H 0.99
O22 0.7244 0.8196 0.9614  1 P 1.56
O23 0.7938 0.0062 0.8306  1 P 1.52
O24 0.7978 0.6197 0.1658  1 P 1.58
O25 0.8196 0.7244 0.4614  1 P 1.56
O26 0.9198 0.3135 0.9912  2 H 0.99
O27 0.9636 0.5085 0.6586  1 P 1.56
O28 0.9938 0.2062 0.6694  1 P 1.52